(1)
# AlTlSb3

A relaxed structure of AlTlSb3 (PBE-GGA, the Alexandria database).

Computed properties:
* symmetry: Pm-3m (221)
* magnetization: 0.000 μB/atom
* energy above the most stable polymorph in this dataset: 3.29 eV per formula unit
* raw formation energy: 1.02 eV/atom

a b c (Å): 5.7255 5.7255 5.7255
angles (deg): 90.00 90.00 90.00
Closest atoms and distances in Å follow each position.
Positions (direct):
Tl (0.0000, 0.0000, 0.0000)  6 Sb 2.86
Al (0.5000, 0.5000, 0.5000)  12 Sb 4.05
Sb (0.5000, 0.0000, 0.0000)  2 Tl 2.86
Sb (0.0000, 0.5000, 0.0000)  2 Tl 2.86
Sb (0.0000, 0.0000, 0.5000)  2 Tl 2.86

***

(2)
# AlTlSb2

A relaxed structure of AlTlSb2 (PBE-GGA, the Alexandria database).

Computed properties:
* symmetry: Cmm2 (35)
* magnetization: 0.000 μB/atom
* energy above the most stable polymorph in this dataset: 0.89 eV per formula unit
* raw formation energy: 0.21 eV/atom

a b c (Å): 3.2197 3.2197 10.3229
angles (deg): 90.00 90.00 97.96
Closest atoms and distances in Å follow each position.
Positions (direct):
Tl (0.0000, 0.0000, 0.5196)  4 Tl 3.22, 4 Al 3.26-3.47, 2 Sb 3.46
Al (0.5000, 0.5000, 0.7600)  4 Sb 3.00-3.23, 4 Al 3.22, 2 Tl 3.26
Sb (0.0000, 0.0000, 0.9668)  4 Al 3.00-3.23, 4 Sb 3.22
Sb (0.5000, 0.5000, 0.2537)  4 Sb 3.22, 2 Tl 3.46

***

(3)
# AlTl3Sb

A relaxed structure of AlTl3Sb (PBE-GGA, the Alexandria database).

Computed properties:
* symmetry: Pm-3m (221)
* magnetization: 0.000 μB/atom
* energy above the most stable polymorph in this dataset: 1.64 eV per formula unit
* raw formation energy: 0.66 eV/atom

a b c (Å): 5.8747 5.8747 5.8747
angles (deg): 90.00 90.00 90.00
Closest atoms and distances in Å follow each position.
Positions (direct):
Sb (0.0000, 0.0000, 0.0000)  6 Tl 2.94
Tl (0.0000, 0.0000, 0.5000)  2 Sb 2.94
Al (0.5000, 0.5000, 0.5000)  12 Tl 4.15
Tl (0.5000, 0.0000, 0.0000)  2 Sb 2.94
Tl (0.0000, 0.5000, 0.0000)  2 Sb 2.94